Model P:
Ta2InTe | SCAN | PBEsol geometry

Values from the calculation:
Symmetry = Pmmm

Structure (extended XYZ):
```
4
Lattice="-0.602 3.116 -1.392 -2.455 -1.957 -3.321 -4.108 0.446 2.774" Properties=species:S:1:pos:R:3 pbc="T T T"
In -3.281 -0.756 -0.274
Ta -2.355 1.781 0.691
Te -1.528 0.579 -2.356
Ta 0.000 0.000 0.000
```

Model Q:
Ta2InTe | SCAN | PBEsol geometry

Values from the calculation:
Symmetry = F-43m

Structure (extended XYZ):
```
4
Lattice="-0.589 4.454 -1.792 -3.659 2.763 1.541 0.887 3.861 2.776" Properties=species:S:1:pos:R:3 pbc="T T T"
In -1.680 5.539 1.263
Ta 0.000 0.000 0.000
Ta -2.521 8.308 1.894
Te -0.840 2.769 0.631
```

Which structure wins on stability? model P wins.

Model P:
ZrInTc | SCAN | PBEsol geometry

Values from the calculation:
Symmetry = I4mm

Structure (extended XYZ):
```
3
Lattice="-2.503 2.344 -0.085 -2.301 -2.477 -0.579 1.776 -0.434 4.961" Properties=species:S:1:pos:R:3 pbc="T T T"
Tc -2.622 -0.243 1.298
Zr -0.396 -0.317 2.933
In -0.009 -0.007 0.067
```

Model Q:
ZrInTc | SCAN | PBEsol geometry

Values from the calculation:
Symmetry = F-43m

Structure (extended XYZ):
```
3
Lattice="4.540 0.000 0.000 2.270 3.932 0.000 2.270 1.311 3.707" Properties=species:S:1:pos:R:3 pbc="T T T"
Zr 2.270 1.311 0.927
In 0.000 0.000 0.000
Tc 4.540 2.621 1.853
```

Model R:
ZrInTc | SCAN | PBEsol geometry

Values from the calculation:
Symmetry = P3m1

Structure (extended XYZ):
```
3
Lattice="-0.403 -0.316 -2.868 2.761 -3.749 0.025 -4.579 -0.476 0.696" Properties=species:S:1:pos:R:3 pbc="T T T"
Zr -2.290 -1.691 -0.648
In -0.388 -0.304 -2.760
Tc 0.054 -2.863 -1.606
```

Which structure wins on stability? model P wins.

Model P:
InTe2 | SCAN | PBEsol geometry

Values from the calculation:
Symmetry = Cmcm

Structure (extended XYZ):
```
6
Lattice="-0.011 -2.895 3.191 1.146 -4.463 -4.045 6.599 2.365 -0.740" Properties=species:S:1:pos:R:3 pbc="T T T"
Te 3.288 -3.009 -2.719
Te 7.335 -2.446 -2.194
Te 0.399 -2.547 0.599
Te 4.447 -1.983 1.124
In 2.458 -0.813 -0.730
In 5.276 -4.179 -0.865
```

Model Q:
InTe2 | SCAN | PBEsol geometry

Values from the calculation:
Symmetry = C2/m

Structure (extended XYZ):
```
6
Lattice="4.336 0.000 0.000 -2.168 3.803 0.096 0.000 -0.508 10.898" Properties=species:S:1:pos:R:3 pbc="T T T"
Te 0.000 1.187 6.585
In 2.168 -0.214 8.139
Te 0.000 0.934 1.107
In 0.000 3.509 2.855
Te 2.168 2.108 4.409
Te 2.168 2.361 9.887
```

Which structure wins on stability? model P wins.

Model P:
TlIn2Te | SCAN | PBEsol geometry

Values from the calculation:
Symmetry = Fm-3m

Structure (extended XYZ):
```
4
Lattice="5.396 0.000 0.000 2.698 4.673 0.000 2.698 1.558 4.406" Properties=species:S:1:pos:R:3 pbc="T T T"
In 2.698 1.558 1.101
Te 0.000 0.000 0.000
Tl 5.396 3.115 2.203
In 8.094 4.673 3.304
```

Model Q:
TlIn2Te | SCAN | PBEsol geometry

Values from the calculation:
Symmetry = Imm2

Structure (extended XYZ):
```
4
Lattice="-3.072 1.377 2.196 -2.941 0.213 -4.248 1.377 -5.827 1.902" Properties=species:S:1:pos:R:3 pbc="T T T"
In -0.033 -0.101 0.018
Te -1.579 -4.877 0.849
In -2.379 -1.914 1.551
Tl -2.274 -2.377 -1.692
```

Which structure wins on stability? model Q wins.

Model P:
TlIn2Te | SCAN | PBEsol geometry

Values from the calculation:
Symmetry = I-4m2

Structure (extended XYZ):
```
4
Lattice="4.641 0.000 0.000 0.000 4.641 0.000 -2.321 -2.321 5.228" Properties=species:S:1:pos:R:3 pbc="T T T"
Te 2.321 2.321 0.000
In 0.000 0.000 0.000
In 2.321 0.000 2.614
Tl 0.000 2.321 2.614
```

Model Q:
TlIn2Te | SCAN | PBEsol geometry

Values from the calculation:
Symmetry = P4mm

Structure (extended XYZ):
```
4
Lattice="4.011 0.000 0.000 0.000 4.011 0.000 0.000 0.000 7.001" Properties=species:S:1:pos:R:3 pbc="T T T"
In 0.000 0.000 0.103
Tl 2.006 2.006 5.288
Te 0.000 0.000 3.289
In 2.006 2.006 1.822
```

Model R:
TlIn2Te | SCAN | PBEsol geometry

Values from the calculation:
Symmetry = Pmmm

Structure (extended XYZ):
```
4
Lattice="-0.864 4.567 -1.042 -3.872 -0.076 2.877 2.814 1.405 3.825" Properties=species:S:1:pos:R:3 pbc="T T T"
In 0.000 0.000 0.000
Te 0.975 2.986 1.391
Tl -0.529 0.664 3.351
In -2.368 2.245 0.917
```

Which structure wins on stability? model Q wins.

Model P:
InTeW2 | SCAN | PBEsol geometry

Values from the calculation:
Symmetry = P2/m

Structure (extended XYZ):
```
4
Lattice="2.920 0.000 -0.006 0.000 4.625 0.000 -0.021 0.000 5.752" Properties=species:S:1:pos:R:3 pbc="T T T"
W 0.344 0.000 1.669
Te 0.000 2.313 0.000
In 1.450 2.313 2.873
W 2.556 0.000 4.077
```

Model Q:
InTeW2 | SCAN | PBEsol geometry

Values from the calculation:
Symmetry = Pmmm

Structure (extended XYZ):
```
4
Lattice="-2.743 1.808 0.599 -2.346 -2.554 -3.029 -1.241 -3.053 3.535" Properties=species:S:1:pos:R:3 pbc="T T T"
In -2.544 -0.373 -1.215
W 0.000 0.000 0.000
Te -1.793 -2.804 0.253
W -1.992 -0.622 2.067
```

Model R:
InTeW2 | SCAN | PBEsol geometry

Values from the calculation:
Symmetry = I-4m2

Structure (extended XYZ):
```
4
Lattice="-2.565 -2.613 -2.195 -1.527 -1.576 3.661 -0.840 4.917 -0.722" Properties=species:S:1:pos:R:3 pbc="T T T"
In -2.046 -2.094 0.733
W -2.725 0.105 -1.091
W 0.000 0.000 0.000
Te -2.206 0.623 1.836
```

Which structure wins on stability? model P wins.